Record 1
A plane-wave DFT calculation with PBE-GGA was carried out for a relaxed structure of HfTaAs2.

Lattice parameters (Å, degrees): 6.6408 6.6408 6.6408 90.00 90.00 90.00
Positions (direct):
1 Hf 0.0000 0.0000 0.0000
2 Hf 0.0000 0.5000 0.5000
3 Hf 0.5000 0.0000 0.5000
4 Hf 0.5000 0.5000 0.0000
5 Ta 0.2500 0.2500 0.7500
6 Ta 0.2500 0.7500 0.2500
7 Ta 0.7500 0.2500 0.2500
8 Ta 0.7500 0.7500 0.7500
9 As 0.0000 0.0000 0.5000
10 As 0.0000 0.5000 0.0000
11 As 0.2500 0.2500 0.2500
12 As 0.2500 0.7500 0.7500
13 As 0.5000 0.0000 0.0000
14 As 0.5000 0.5000 0.5000
15 As 0.7500 0.2500 0.7500
16 As 0.7500 0.7500 0.2500

Properties
Magnetic moment (μB per formula unit): 1.0
E_tot (hartree per atom): -0.279
Space-group type: No. 216

---

Record 2
A plane-wave DFT calculation with PBE-GGA was carried out for a relaxed structure of Nd7Al7Co6.

Lattice parameters (Å, degrees): 13.7954 13.7954 4.1853 90.00 90.00 90.00
Positions (direct):
1 Nd 0.0000 0.0000 0.0000
2 Nd 0.0473 0.2618 0.0000
3 Nd 0.1318 0.6318 0.5000
4 Nd 0.2382 0.4527 0.0000
5 Nd 0.2618 0.9527 0.0000
6 Nd 0.3682 0.1318 0.5000
7 Nd 0.4527 0.7618 0.0000
8 Nd 0.5000 0.5000 0.0000
9 Nd 0.5473 0.2382 0.0000
10 Nd 0.6318 0.8682 0.5000
11 Nd 0.7382 0.0473 0.0000
12 Nd 0.7618 0.5473 0.0000
13 Nd 0.8682 0.3682 0.5000
14 Nd 0.9527 0.7382 0.0000
15 Al 0.0000 0.5000 0.0000
16 Al 0.0979 0.8618 0.5000
17 Al 0.1382 0.0979 0.5000
18 Al 0.2140 0.2860 0.5000
19 Al 0.2860 0.7860 0.5000
20 Al 0.3618 0.5979 0.5000
21 Al 0.4021 0.3618 0.5000
22 Al 0.5000 0.0000 0.0000
23 Al 0.5979 0.6382 0.5000
24 Al 0.6382 0.4021 0.5000
25 Al 0.7140 0.2140 0.5000
26 Al 0.7860 0.7140 0.5000
27 Al 0.8618 0.9021 0.5000
28 Al 0.9021 0.1382 0.5000
29 Co 0.0735 0.4265 0.5000
30 Co 0.1647 0.7888 0.0000
31 Co 0.2112 0.1647 0.0000
32 Co 0.2888 0.6647 0.0000
33 Co 0.3353 0.2888 0.0000
34 Co 0.4265 0.9265 0.5000
35 Co 0.5735 0.0735 0.5000
36 Co 0.6647 0.7112 0.0000
37 Co 0.7112 0.3353 0.0000
38 Co 0.7888 0.8353 0.0000
39 Co 0.8353 0.2112 0.0000
40 Co 0.9265 0.5735 0.5000

Properties
Magnetic moment (μB per formula unit): 0.0
E_tot (hartree per atom): -0.202
Space-group type: No. 127

---

Record 3
A plane-wave DFT calculation with PBE-GGA was carried out for a relaxed structure of ZnPbNO.

Lattice parameters (Å, degrees): 4.7590 4.7590 4.7345 90.00 90.00 90.00
Positions (direct):
1 Zn 0.2500 0.2500 0.0169
2 Zn 0.7500 0.7500 0.9831
3 Pb 0.2500 0.7500 0.5000
4 Pb 0.7500 0.2500 0.5000
5 N 0.2500 0.2500 0.4852
6 N 0.7500 0.7500 0.5148
7 O 0.2500 0.7500 0.0000
8 O 0.7500 0.2500 0.0000

Properties
Space-group type: No. 129
ΔE to the lowest computed polymorph (meV per atom): 183.1

---

Record 4
A plane-wave DFT calculation with PBE-GGA was carried out for a relaxed structure of Ho2ErCd5.

Lattice parameters (Å, degrees): 5.0896 7.2803 10.4717 90.00 90.00 90.00
Positions (direct):
1 Ho 0.0000 0.0000 0.0000
2 Ho 0.0000 0.5000 0.5000
3 Ho 0.5000 0.0000 0.2982
4 Ho 0.5000 0.5000 0.7982
5 Er 0.0000 0.0000 0.5390
6 Er 0.0000 0.5000 0.0390
7 Cd 0.0000 0.2354 0.2654
8 Cd 0.0000 0.2646 0.7654
9 Cd 0.0000 0.7354 0.7654
10 Cd 0.0000 0.7646 0.2654
11 Cd 0.5000 0.0000 0.7866
12 Cd 0.5000 0.2435 0.0483
13 Cd 0.5000 0.2565 0.5483
14 Cd 0.5000 0.5000 0.2866
15 Cd 0.5000 0.7435 0.5483
16 Cd 0.5000 0.7565 0.0483

Properties
Magnetic moment (μB per formula unit): 0.0
E_form (eV per atom): -0.288
Space-group type: No. 38

---

Record 5
A plane-wave DFT calculation with PBE-GGA was carried out for a relaxed structure of NbTl2CuF6.

Lattice parameters (Å, degrees): 5.9136 5.9136 5.9136 60.00 60.00 60.00
Positions (direct):
1 Nb 0.0000 0.0000 0.0000
2 Tl 0.2500 0.2500 0.2500
3 Tl 0.7500 0.7500 0.7500
4 Cu 0.5000 0.5000 0.5000
5 F 0.2488 0.2488 0.7512
6 F 0.2488 0.7512 0.2488
7 F 0.2488 0.7512 0.7512
8 F 0.7512 0.2488 0.2488
9 F 0.7512 0.2488 0.7512
10 F 0.7512 0.7512 0.2488

Properties
Magnetic moment (μB per formula unit): 2.0
E_tot (hartree per atom): -0.178
Space-group type: No. 225

---

Record 6
A plane-wave DFT calculation with PBE-GGA was carried out for a relaxed structure of PrF.

Lattice parameters (Å, degrees): 5.6811 5.6811 5.6811 90.00 90.00 90.00
Positions (direct):
1 Pr 0.0000 0.0000 0.0000
2 Pr 0.0000 0.5000 0.5000
3 Pr 0.5000 0.0000 0.5000
4 Pr 0.5000 0.5000 0.0000
5 F 0.2500 0.2500 0.2500
6 F 0.2500 0.7500 0.7500
7 F 0.7500 0.2500 0.7500
8 F 0.7500 0.7500 0.2500

Properties
Magnetic moment (μB per formula unit): 1.1
Space-group type: No. 216
ΔE to the lowest computed polymorph (meV per atom): 14.0

---

Record 7
A plane-wave DFT calculation with PBE-GGA was carried out for a relaxed structure of SrCu2Ni.

Lattice parameters (Å, degrees): 6.5163 6.5163 6.5163 90.00 90.00 90.00
Positions (direct):
1 Sr 0.0000 0.0000 0.0000
2 Sr 0.0000 0.5000 0.5000
3 Sr 0.5000 0.0000 0.5000
4 Sr 0.5000 0.5000 0.0000
5 Cu 0.0000 0.0000 0.5000
6 Cu 0.0000 0.5000 0.0000
7 Cu 0.2500 0.2500 0.7500
8 Cu 0.2500 0.7500 0.2500
9 Cu 0.5000 0.0000 0.0000
10 Cu 0.5000 0.5000 0.5000
11 Cu 0.7500 0.2500 0.2500
12 Cu 0.7500 0.7500 0.7500
13 Ni 0.2500 0.2500 0.2500
14 Ni 0.2500 0.7500 0.7500
15 Ni 0.7500 0.2500 0.7500
16 Ni 0.7500 0.7500 0.2500

Properties
Magnetic moment (μB per formula unit): 0.0
E_tot (hartree per atom): -0.122
Space-group type: No. 216

---

Record 8
A plane-wave DFT calculation with PBE-GGA was carried out for a relaxed structure of ZrCuPd.

Lattice parameters (Å, degrees): 3.4385 3.4385 8.4384 90.00 90.00 90.00
Positions (direct):
1 Zr 0.0000 0.0000 0.0000
2 Zr 0.5000 0.5000 0.5000
3 Cu 0.0000 0.0000 0.6680
4 Cu 0.5000 0.5000 0.1680
5 Pd 0.0000 0.0000 0.3332
6 Pd 0.5000 0.5000 0.8332

Properties
Magnetic moment (μB per formula unit): 0.0
E_form (eV per atom): -0.495
Space-group type: No. 107
ΔE to the lowest computed polymorph (meV per atom): 0.0

---

Record 9
A plane-wave DFT calculation with PBE-GGA was carried out for a relaxed structure of NdMg.

Lattice parameters (Å, degrees): 5.4857 10.1597 6.2937 90.00 90.00 90.00
Positions (direct):
1 Nd 0.0000 0.0687 0.0000
2 Nd 0.0000 0.3981 0.0774
3 Nd 0.0000 0.6019 0.5774
4 Nd 0.0000 0.9313 0.5000
5 Nd 0.5000 0.4056 0.7445
6 Nd 0.5000 0.5944 0.2445
7 Mg 0.0000 0.2545 0.5494
8 Mg 0.0000 0.7455 0.0494
9 Mg 0.5000 0.0832 0.6982
10 Mg 0.5000 0.2292 0.2483
11 Mg 0.5000 0.7708 0.7483
12 Mg 0.5000 0.9168 0.1982

Properties
Magnetic moment (μB per formula unit): 0.0
Space-group type: No. 26
ΔE to the lowest computed polymorph (meV per atom): 105.2

---

Record 10
A plane-wave DFT calculation with PBE-GGA was carried out for a relaxed structure of TbDy2Al3AgIr2.

Lattice parameters (Å, degrees): 4.1489 7.0586 7.0586 120.14 90.00 90.00
Positions (direct):
1 Tb 0.0000 0.0000 0.0000
2 Dy 0.0000 0.1560 0.5780
3 Dy 0.0000 0.5780 0.1560
4 Al 0.5000 0.3253 0.3253
5 Al 0.5000 0.5781 0.8304
6 Al 0.5000 0.8304 0.5781
7 Ag 0.0000 0.5767 0.5767
8 Ir 0.5000 0.2459 0.9107
9 Ir 0.5000 0.9107 0.2459

Properties
Magnetic moment (μB per formula unit): 0.0
E_tot (hartree per atom): -0.213
Space-group type: No. 38

---

Record 11
A plane-wave DFT calculation with PBE-GGA was carried out for a relaxed structure of YCdFePb.

Lattice parameters (Å, degrees): 6.8848 6.8848 6.8848 90.00 90.00 90.00
Positions (direct):
1 Y 0.0000 0.0000 0.0000
2 Y 0.0000 0.5000 0.5000
3 Y 0.5000 0.0000 0.5000
4 Y 0.5000 0.5000 0.0000
5 Cd 0.2500 0.2500 0.7500
6 Cd 0.2500 0.7500 0.2500
7 Cd 0.7500 0.2500 0.2500
8 Cd 0.7500 0.7500 0.7500
9 Fe 0.0000 0.0000 0.5000
10 Fe 0.0000 0.5000 0.0000
11 Fe 0.5000 0.0000 0.0000
12 Fe 0.5000 0.5000 0.5000
13 Pb 0.2500 0.2500 0.2500
14 Pb 0.2500 0.7500 0.7500
15 Pb 0.7500 0.2500 0.7500
16 Pb 0.7500 0.7500 0.2500

Properties
Magnetic moment (μB per formula unit): 2.3
Space-group type: No. 216
ΔE to the lowest computed polymorph (meV per atom): 0.0

---

Record 12
A plane-wave DFT calculation with PBE-GGA was carried out for a relaxed structure of BeHgTeO.

Lattice parameters (Å, degrees): 3.9804 3.9804 9.1101 90.00 90.00 90.00
Positions (direct):
1 Be 0.2500 0.2500 0.1102
2 Be 0.7500 0.7500 0.8898
3 Hg 0.2500 0.2500 0.3778
4 Hg 0.7500 0.7500 0.6222
5 Te 0.2500 0.2500 0.8474
6 Te 0.7500 0.7500 0.1526
7 O 0.2500 0.7500 0.5000
8 O 0.7500 0.2500 0.5000

Properties
Space-group type: No. 129
ΔE to the lowest computed polymorph (meV per atom): 1233.8

---

Record 13
A plane-wave DFT calculation with PBE-GGA was carried out for a relaxed structure of ScAg2Au.

Lattice parameters (Å, degrees): 6.6298 6.6298 6.6298 90.00 90.00 90.00
Positions (direct):
1 Sc 0.0000 0.0000 0.0000
2 Sc 0.0000 0.5000 0.5000
3 Sc 0.5000 0.0000 0.5000
4 Sc 0.5000 0.5000 0.0000
5 Ag 0.0000 0.0000 0.5000
6 Ag 0.0000 0.5000 0.0000
7 Ag 0.2500 0.2500 0.2500
8 Ag 0.2500 0.7500 0.7500
9 Ag 0.5000 0.0000 0.0000
10 Ag 0.5000 0.5000 0.5000
11 Ag 0.7500 0.2500 0.7500
12 Ag 0.7500 0.7500 0.2500
13 Au 0.2500 0.2500 0.7500
14 Au 0.2500 0.7500 0.2500
15 Au 0.7500 0.2500 0.2500
16 Au 0.7500 0.7500 0.7500

Properties
Magnetic moment (μB per formula unit): 0.0
E_form (eV per atom): -0.371
Space-group type: No. 216
ΔE to the lowest computed polymorph (meV per atom): 40.8

---

Record 14
A plane-wave DFT calculation with PBE-GGA was carried out for a relaxed structure of CuPt3.

Lattice parameters (Å, degrees): 4.5986 5.4617 4.7405 90.00 90.00 90.00
Positions (direct):
1 Cu 0.2500 0.2500 0.1648
2 Cu 0.7500 0.7500 0.8352
3 Pt 0.2500 0.0037 0.6653
4 Pt 0.2500 0.4963 0.6653
5 Pt 0.2500 0.7500 0.1618
6 Pt 0.7500 0.2500 0.8382
7 Pt 0.7500 0.5037 0.3347
8 Pt 0.7500 0.9963 0.3347

Properties
Magnetic moment (μB per formula unit): 0.0
E_form (eV per atom): -0.048
Space-group type: No. 59

---

Record 15
A plane-wave DFT calculation with PBE-GGA was carried out for a relaxed structure of TbInAu3S4.

Lattice parameters (Å, degrees): 5.9058 7.3443 10.4155 90.00 101.83 90.00
Positions (direct):
1 Tb 0.1305 0.2500 0.3003
2 Tb 0.8695 0.7500 0.6997
3 In 0.2609 0.2500 0.8979
4 In 0.7391 0.7500 0.1021
5 Au 0.2983 0.5597 0.5610
6 Au 0.2983 0.9403 0.5610
7 Au 0.4304 0.7500 0.8395
8 Au 0.5696 0.2500 0.1605
9 Au 0.7017 0.0597 0.4390
10 Au 0.7017 0.4403 0.4390
11 S 0.0322 0.2500 0.5537
12 S 0.1110 0.7500 0.9420
13 S 0.3969 0.5218 0.2585
14 S 0.3969 0.9782 0.2585
15 S 0.6031 0.0218 0.7415
16 S 0.6031 0.4782 0.7415
17 S 0.8890 0.2500 0.0580
18 S 0.9678 0.7500 0.4463

Properties
Magnetic moment (μB per formula unit): 0.0
Space-group type: No. 11
ΔE to the lowest computed polymorph (meV per atom): 0.0

---

Record 16
A plane-wave DFT calculation with PBE-GGA was carried out for a relaxed structure of InCoB2.

Lattice parameters (Å, degrees): 5.7181 5.7181 5.7181 90.00 90.00 90.00
Positions (direct):
1 In 0.0000 0.0000 0.0000
2 In 0.0000 0.5000 0.5000
3 In 0.5000 0.0000 0.5000
4 In 0.5000 0.5000 0.0000
5 Co 0.2500 0.2500 0.2500
6 Co 0.2500 0.7500 0.7500
7 Co 0.7500 0.2500 0.7500
8 Co 0.7500 0.7500 0.2500
9 B 0.0000 0.0000 0.5000
10 B 0.0000 0.5000 0.0000
11 B 0.2500 0.2500 0.7500
12 B 0.2500 0.7500 0.2500
13 B 0.5000 0.0000 0.0000
14 B 0.5000 0.5000 0.5000
15 B 0.7500 0.2500 0.2500
16 B 0.7500 0.7500 0.7500

Properties
Magnetic moment (μB per formula unit): 0.0
E_tot (hartree per atom): -0.158
Space-group type: No. 216

---

Record 17
A plane-wave DFT calculation with PBE-GGA was carried out for a relaxed structure of CsAlPt.

Lattice parameters (Å, degrees): 7.1888 7.1888 7.1888 90.00 90.00 90.00
Positions (direct):
1 Cs 0.0000 0.0000 0.0000
2 Cs 0.0000 0.5000 0.5000
3 Cs 0.5000 0.0000 0.5000
4 Cs 0.5000 0.5000 0.0000
5 Al 0.0000 0.0000 0.5000
6 Al 0.0000 0.5000 0.0000
7 Al 0.5000 0.0000 0.0000
8 Al 0.5000 0.5000 0.5000
9 Pt 0.2500 0.2500 0.7500
10 Pt 0.2500 0.7500 0.2500
11 Pt 0.7500 0.2500 0.2500
12 Pt 0.7500 0.7500 0.7500

Properties
Magnetic moment (μB per formula unit): 0.0
Space-group type: No. 216
ΔE to the lowest computed polymorph (meV per atom): 0.0

---

Record 18
A plane-wave DFT calculation with PBE-GGA was carried out for a relaxed structure of Tb4InOs.

Lattice parameters (Å, degrees): 7.9421 7.9421 6.1380 99.97 99.97 112.76
Positions (direct):
1 Tb 0.0593 0.7224 0.9500
2 Tb 0.2028 0.3515 0.6157
3 Tb 0.2776 0.9407 0.5500
4 Tb 0.3515 0.2028 0.1157
5 Tb 0.6485 0.7972 0.8843
6 Tb 0.7224 0.0593 0.4500
7 Tb 0.7972 0.6485 0.3843
8 Tb 0.9407 0.2776 0.0500
9 In 0.3754 0.6246 0.2500
10 In 0.6246 0.3754 0.7500
11 Os 0.9996 0.0004 0.2500
12 Os 0.0004 0.9996 0.7500

Properties
Magnetic moment (μB per formula unit): 0.0
E_tot (hartree per atom): -0.211
Space-group type: No. 15

---

Record 19
A plane-wave DFT calculation with PBE-GGA was carried out for a relaxed structure of KBaErTe3.

Lattice parameters (Å, degrees): 9.1002 4.7755 10.8362 90.00 109.25 90.00
Positions (direct):
1 K 0.0935 0.2500 0.0825
2 K 0.9065 0.7500 0.9175
3 Ba 0.2673 0.2500 0.7721
4 Ba 0.7327 0.7500 0.2279
5 Er 0.3130 0.7500 0.3572
6 Er 0.6870 0.2500 0.6428
7 Te 0.0918 0.2500 0.3777
8 Te 0.3137 0.7500 0.0436
9 Te 0.4649 0.7500 0.6467
10 Te 0.5351 0.2500 0.3533
11 Te 0.6863 0.2500 0.9564
12 Te 0.9082 0.7500 0.6223

Properties
Magnetic moment (μB per formula unit): 0.0
Space-group type: No. 11
ΔE to the lowest computed polymorph (meV per atom): 0.0

---

Record 20
A plane-wave DFT calculation with PBE-GGA was carried out for a relaxed structure of Tb3GaCoS7.

Lattice parameters (Å, degrees): 9.5599 9.5599 6.1516 90.00 90.00 120.00
Positions (direct):
1 Tb 0.1554 0.3738 0.0000
2 Tb 0.2183 0.8446 0.0000
3 Tb 0.3738 0.2183 0.5000
4 Tb 0.6262 0.7817 0.0000
5 Tb 0.7817 0.1554 0.5000
6 Tb 0.8446 0.6262 0.5000
7 Ga 0.3333 0.6667 0.5744
8 Ga 0.6667 0.3333 0.0744
9 Co 0.0000 0.0000 0.1590
10 Co 0.0000 0.0000 0.6590
11 S 0.0852 0.5659 0.7300
12 S 0.0953 0.2223 0.4054
13 S 0.1270 0.9047 0.4054
14 S 0.2223 0.1270 0.9054
15 S 0.3333 0.6667 0.2084
16 S 0.4341 0.5193 0.7300
17 S 0.4807 0.9148 0.7300
18 S 0.5193 0.0852 0.2300
19 S 0.5659 0.4807 0.2300
20 S 0.6667 0.3333 0.7084
21 S 0.7777 0.8730 0.4054
22 S 0.8730 0.0953 0.9054
23 S 0.9047 0.7777 0.9054
24 S 0.9148 0.4341 0.2300

Properties
Magnetic moment (μB per formula unit): 1.0
E_tot (hartree per atom): -0.216
Space-group type: No. 173